Here is a relaxed KZnOs2 crystal from Alexandria via LeMat-Bulk. Energies are from GGA-PBE.

CIF file:
```
data_KZnOs2
_chemical_formula_sum 'K2 Zn2 Os4'
_space_group_name_H-M_alt 'I m m 2'
_space_group_IT_number 44
_cell_length_a 4.232
_cell_length_b 5.094
_cell_length_c 7.122
_cell_angle_alpha 90.00
_cell_angle_beta 90.00
_cell_angle_gamma 90.00
loop_
_space_group_symop_operation_xyz
'x,y,z'
'-x,-y,z'
'-x,y,z'
'x,-y,z'
'x+1/2,y+1/2,z+1/2'
'-x+1/2,-y+1/2,z+1/2'
'-x+1/2,y+1/2,z+1/2'
'x+1/2,-y+1/2,z+1/2'
loop_
_atom_site_label
_atom_site_type_symbol
_atom_site_fract_x
_atom_site_fract_y
_atom_site_fract_z
K1 K 0.000 0.000 0.000
Zn1 Zn 0.000 0.500 0.783
Os1 Os 0.000 0.000 0.537
Os2 Os 0.000 0.500 0.203
```

Properties
The value obtained for the calculated formation energy is 1.191 eV/atom. Its energy is -5.0165 eV per atom.

---

Here is a relaxed K2ZnOs crystal from Alexandria via LeMat-Bulk. Energies are from GGA-PBE.

CIF file:
```
data_K2ZnOs
_chemical_formula_sum 'K4 Zn2 Os2'
_space_group_name_H-M_alt 'I m m 2'
_space_group_IT_number 44
_cell_length_a 4.437
_cell_length_b 5.726
_cell_length_c 9.744
_cell_angle_alpha 90.00
_cell_angle_beta 90.00
_cell_angle_gamma 90.00
loop_
_space_group_symop_operation_xyz
'x,y,z'
'-x,-y,z'
'-x,y,z'
'x,-y,z'
'x+1/2,y+1/2,z+1/2'
'-x+1/2,-y+1/2,z+1/2'
'-x+1/2,y+1/2,z+1/2'
'x+1/2,-y+1/2,z+1/2'
loop_
_atom_site_label
_atom_site_type_symbol
_atom_site_fract_x
_atom_site_fract_y
_atom_site_fract_z
K1 K 0.000 0.000 0.000
K2 K 0.000 0.500 0.197
Zn1 Zn 0.000 0.000 0.404
Os1 Os 0.000 0.500 0.805
```

Properties
The value obtained for the calculated formation energy is 0.961 eV/atom. Its energy is -2.7136 eV per atom.

---

Here is a relaxed K2ZnOs crystal from Alexandria via LeMat-Bulk. Energies are from GGA-PBE.

CIF file:
```
data_K2ZnOs
_chemical_formula_sum 'K4 Zn2 Os2'
_space_group_name_H-M_alt 'C 1 2/m 1'
_space_group_IT_number 12
_cell_length_a 20.344
_cell_length_b 2.952
_cell_length_c 4.153
_cell_angle_alpha 90.00
_cell_angle_beta 101.13
_cell_angle_gamma 90.00
loop_
_space_group_symop_operation_xyz
'x,y,z'
'-x,-y,-z'
'-x,y,-z'
'x,-y,z'
'x+1/2,y+1/2,z'
'-x+1/2,-y+1/2,-z'
'-x+1/2,y+1/2,-z'
'x+1/2,-y+1/2,z'
loop_
_atom_site_label
_atom_site_type_symbol
_atom_site_fract_x
_atom_site_fract_y
_atom_site_fract_z
K1 K 0.141 0.000 0.140
Zn1 Zn 0.000 0.500 0.000
Os1 Os 0.000 0.000 0.500
```

Properties
The value obtained for the calculated formation energy is 0.693 eV/atom. Its energy is -2.9820 eV per atom.

---

Here is a relaxed KZr2ZnOs crystal from Alexandria via LeMat-Bulk. Energies are from GGA-PBE.

CIF file:
```
data_KZr2ZnOs
_chemical_formula_sum 'K1 Zr2 Zn1 Os1'
_space_group_name_H-M_alt 'P 4/m m m'
_space_group_IT_number 123
_space_group_name_Hall '-P 4 2'
_cell_length_a 5.091
_cell_length_b 5.091
_cell_length_c 5.158
_cell_angle_alpha 90.00
_cell_angle_beta 90.00
_cell_angle_gamma 90.00
loop_
_atom_site_label
_atom_site_type_symbol
_atom_site_fract_x
_atom_site_fract_y
_atom_site_fract_z
K1 K 0.000 0.000 0.000
Zr1 Zr 0.000 0.500 0.500
Zn1 Zn 0.500 0.500 0.000
Os1 Os 0.500 0.500 0.500
```

Properties
The value obtained for the calculated formation energy is 0.448 eV/atom. Its energy is -5.6915 eV per atom.

---

Here is a relaxed KZrOs2 crystal from Alexandria via LeMat-Bulk. Energies are from GGA-PBE.

CIF file:
```
data_KZrOs2
_chemical_formula_sum 'K1 Zr1 Os2'
_space_group_name_H-M_alt 'P 4/m m m'
_space_group_IT_number 123
_space_group_name_Hall '-P 4 2'
_cell_length_a 4.241
_cell_length_b 4.241
_cell_length_c 4.204
_cell_angle_alpha 90.00
_cell_angle_beta 90.00
_cell_angle_gamma 90.00
loop_
_atom_site_label
_atom_site_type_symbol
_atom_site_fract_x
_atom_site_fract_y
_atom_site_fract_z
K1 K 0.000 0.000 0.000
Zr1 Zr 0.500 0.500 0.000
Os1 Os 0.000 0.500 0.500
```

Properties
The value obtained for the calculated formation energy is 1.348 eV/atom. As for the excess energy over the best structure of this formula in the dataset: 887 meV per atom. Its energy is -6.6786 eV per atom.

---

Here is a relaxed KZrOs2 crystal from Alexandria via LeMat-Bulk. Energies are from GGA-PBE.

CIF file:
```
data_KZrOs2
_chemical_formula_sum 'K4 Zr4 Os8'
_space_group_name_H-M_alt 'F -4 3 m'
_space_group_IT_number 216
_space_group_name_Hall 'F -4 2 3'
_cell_length_a 6.621
_cell_length_b 6.621
_cell_length_c 6.621
_cell_angle_alpha 90.00
_cell_angle_beta 90.00
_cell_angle_gamma 90.00
loop_
_atom_site_label
_atom_site_type_symbol
_atom_site_fract_x
_atom_site_fract_y
_atom_site_fract_z
K1 K 0.000 0.000 0.000
Zr1 Zr 0.250 0.250 0.250
Os1 Os 0.000 0.000 0.500
Os2 Os 0.250 0.250 0.750
```

Properties
The value obtained for the calculated formation energy is 1.102 eV/atom. As for the excess energy over the best structure of this formula in the dataset: 641 meV per atom. Its energy is -6.9247 eV per atom.

---

Here is a relaxed KZrOs2 crystal from Alexandria via LeMat-Bulk. Energies are from GGA-PBE.

CIF file:
```
data_KZrOs2
_chemical_formula_sum 'K1 Zr1 Os2'
_space_group_name_H-M_alt 'P 4/m m m'
_space_group_IT_number 123
_space_group_name_Hall '-P 4 2'
_cell_length_a 4.915
_cell_length_b 4.915
_cell_length_c 3.171
_cell_angle_alpha 90.00
_cell_angle_beta 90.00
_cell_angle_gamma 90.00
loop_
_atom_site_label
_atom_site_type_symbol
_atom_site_fract_x
_atom_site_fract_y
_atom_site_fract_z
K1 K 0.000 0.000 0.000
Zr1 Zr 0.500 0.500 0.000
Os1 Os 0.000 0.500 0.500
```

Properties
The value obtained for the calculated formation energy is 1.293 eV/atom. As for the excess energy over the best structure of this formula in the dataset: 832 meV per atom. Its energy is -6.7334 eV per atom.

---

Here is a relaxed KZrOs2 crystal from Alexandria via LeMat-Bulk. Energies are from GGA-PBE.

CIF file:
```
data_KZrOs2
_chemical_formula_sum 'K2 Zr2 Os4'
_space_group_name_H-M_alt 'C 1 m 1'
_space_group_IT_number 8
_cell_length_a 7.395
_cell_length_b 4.262
_cell_length_c 8.028
_cell_angle_alpha 90.00
_cell_angle_beta 107.61
_cell_angle_gamma 90.00
loop_
_space_group_symop_operation_xyz
'x,y,z'
'x,-y,z'
'x+1/2,y+1/2,z'
'x+1/2,-y+1/2,z'
loop_
_atom_site_label
_atom_site_type_symbol
_atom_site_fract_x
_atom_site_fract_y
_atom_site_fract_z
K1 K 0.000 0.000 0.000
Zr1 Zr 0.327 0.500 0.472
Os1 Os 0.052 0.500 0.650
Os2 Os 0.219 0.000 0.649
```

Properties
The value obtained for the calculated formation energy is 0.461 eV/atom. As for the excess energy over the best structure of this formula in the dataset: 0 meV per atom. Its energy is -7.5653 eV per atom.

---

Here is a relaxed KZrOs3 crystal from Alexandria via LeMat-Bulk. Energies are from GGA-PBE.

CIF file:
```
data_KZrOs3
_chemical_formula_sum 'K1 Zr1 Os3'
_space_group_name_H-M_alt 'P m -3 m'
_space_group_IT_number 221
_space_group_name_Hall '-P 4 2 3'
_cell_length_a 5.009
_cell_length_b 5.009
_cell_length_c 5.009
_cell_angle_alpha 90.00
_cell_angle_beta 90.00
_cell_angle_gamma 90.00
loop_
_atom_site_label
_atom_site_type_symbol
_atom_site_fract_x
_atom_site_fract_y
_atom_site_fract_z
K1 K 0.000 0.000 0.000
Zr1 Zr 0.500 0.500 0.500
Os1 Os 0.000 0.500 0.500
```

Properties
The value obtained for the calculated formation energy is 2.213 eV/atom. As for the excess energy over the best structure of this formula in the dataset: 0 meV per atom. Its energy is -6.4543 eV per atom.

---

Here is a relaxed KZrOs2 crystal from Alexandria via LeMat-Bulk. Energies are from GGA-PBE.

CIF file:
```
data_KZrOs2
_chemical_formula_sum 'K1 Zr1 Os2'
_space_group_name_H-M_alt 'P m m m'
_space_group_IT_number 47
_cell_length_a 3.033
_cell_length_b 4.826
_cell_length_c 4.890
_cell_angle_alpha 90.00
_cell_angle_beta 90.00
_cell_angle_gamma 90.00
loop_
_space_group_symop_operation_xyz
'x,y,z'
'-x,-y,-z'
'-x,-y,z'
'x,y,-z'
'x,-y,-z'
'-x,y,z'
'-x,y,-z'
'x,-y,z'
loop_
_atom_site_label
_atom_site_type_symbol
_atom_site_fract_x
_atom_site_fract_y
_atom_site_fract_z
K1 K 0.000 0.000 0.000
Zr1 Zr 0.500 0.500 0.000
Os1 Os 0.000 0.500 0.500
Os2 Os 0.500 0.000 0.500
```

Properties
The value obtained for the calculated formation energy is 1.227 eV/atom. As for the excess energy over the best structure of this formula in the dataset: 766 meV per atom. Its energy is -6.7995 eV per atom.

---

Here is a relaxed KZr2Os4 crystal from Alexandria via LeMat-Bulk. Energies are from GGA-PBE.

CIF file:
```
data_KZr2Os4
_chemical_formula_sum 'K2 Zr4 Os8'
_space_group_name_H-M_alt 'I 4/m m m'
_space_group_IT_number 139
_space_group_name_Hall '-I 4 2'
_cell_length_a 4.548
_cell_length_b 4.548
_cell_length_c 13.989
_cell_angle_alpha 90.00
_cell_angle_beta 90.00
_cell_angle_gamma 90.00
loop_
_atom_site_label
_atom_site_type_symbol
_atom_site_fract_x
_atom_site_fract_y
_atom_site_fract_z
K1 K 0.000 0.000 0.000
Zr1 Zr 0.000 0.000 0.370
Os1 Os 0.000 0.000 0.193
Os2 Os 0.000 0.500 0.000
```

Properties
The value obtained for the calculated formation energy is 2.253 eV/atom. Its energy is -6.7632 eV per atom.

---

Here is a relaxed KZrOs2 crystal from Alexandria via LeMat-Bulk. Energies are from GGA-PBE.

CIF file:
```
data_KZrOs2
_chemical_formula_sum 'K1 Zr1 Os2'
_space_group_name_H-M_alt 'P m m m'
_space_group_IT_number 47
_cell_length_a 3.005
_cell_length_b 4.147
_cell_length_c 7.769
_cell_angle_alpha 90.00
_cell_angle_beta 90.00
_cell_angle_gamma 90.00
loop_
_space_group_symop_operation_xyz
'x,y,z'
'-x,-y,-z'
'-x,-y,z'
'x,y,-z'
'x,-y,-z'
'-x,y,z'
'-x,y,-z'
'x,-y,z'
loop_
_atom_site_label
_atom_site_type_symbol
_atom_site_fract_x
_atom_site_fract_y
_atom_site_fract_z
K1 K 0.000 0.000 0.000
Zr1 Zr 0.000 0.000 0.500
Os1 Os 0.500 0.500 0.345
```

Properties
The value obtained for the calculated formation energy is 0.727 eV/atom. As for the excess energy over the best structure of this formula in the dataset: 266 meV per atom. Its energy is -7.2989 eV per atom.